A geometry-optimized CsTi3Pd structure, computed with PBEsol.

The symmetry is Pm-3m, No. 221. The value obtained for the calculated formation energy is 2.00 eV/atom. The uncorrected energy comes out at -4.370 eV per atom.

a b c (Å): 4.829 4.829 4.829
angles (deg): 90.00 90.00 90.00
Fractional coordinates of all 5 atoms:
Cs1 0.000 0.000 0.000
Pd1 0.500 0.500 0.500
Ti1 0.000 0.500 0.000
Ti2 0.000 0.000 0.500
Ti3 0.500 0.000 0.000